This record from the Open Quantum Materials Database describes a relaxed SrGe2PdO7 crystal. The functional is PBE.

Unit cell a=5.428 b=5.428 c=4.840 alpha=95.33 beta=95.33 gamma=99.17
Fractional coordinates of all 11 atoms:
1 Sr 0.000 0.000 0.000
2 Ge 0.530 0.015 0.558
3 Ge 0.985 0.470 0.442
4 Pd 0.427 0.573 0.000
5 O 0.114 0.629 0.771
6 O 0.237 0.379 0.267
7 O 0.371 0.886 0.229
8 O 0.392 0.213 0.782
9 O 0.621 0.763 0.733
10 O 0.787 0.608 0.218
11 O 0.843 0.157 0.500

Summary:
Crystal system: monoclinic
Calculated total energy (eV/f.u.): -66.9



This record from the Open Quantum Materials Database describes a relaxed PmGe4O2 crystal. The functional is PBE.

Unit cell a=6.955 b=6.955 c=4.828 alpha=90.00 beta=90.00 gamma=90.00
Fractional coordinates of all 14 atoms:
1 Pm 0.000 0.000 0.000
2 Pm 0.500 0.500 0.500
3 Ge 0.201 0.201 0.500
4 Ge 0.201 0.799 0.500
5 Ge 0.299 0.299 0.000
6 Ge 0.299 0.701 0.000
7 Ge 0.701 0.299 0.000
8 Ge 0.701 0.701 0.000
9 Ge 0.799 0.201 0.500
10 Ge 0.799 0.799 0.500
11 O 0.000 0.500 0.250
12 O 0.000 0.500 0.750
13 O 0.500 0.000 0.250
14 O 0.500 0.000 0.750

Summary:
Crystal system: tetragonal
Calculated total energy (eV/f.u.): -32.6



This record from the Open Quantum Materials Database describes a relaxed Pm2Ge2O7 crystal. The functional is PBE.

Unit cell a=6.902 b=6.923 c=12.487 alpha=93.89 beta=90.85 gamma=91.52
Fractional coordinates of all 44 atoms:
1 Pm 0.050 0.329 0.115
2 Pm 0.117 0.082 0.361
3 Pm 0.321 0.830 0.112
4 Pm 0.371 0.237 0.628
5 Pm 0.629 0.763 0.372
6 Pm 0.679 0.170 0.888
7 Pm 0.883 0.918 0.639
8 Pm 0.950 0.671 0.885
9 Ge 0.143 0.616 0.383
10 Ge 0.163 0.148 0.883
11 Ge 0.379 0.736 0.601
12 Ge 0.488 0.672 0.833
13 Ge 0.512 0.328 0.167
14 Ge 0.621 0.264 0.399
15 Ge 0.837 0.852 0.117
16 Ge 0.857 0.384 0.617
17 O 0.002 0.662 0.082
18 O 0.007 0.014 0.185
19 O 0.039 0.227 0.568
20 O 0.067 0.404 0.311
21 O 0.222 0.923 0.622
22 O 0.247 0.098 0.011
23 O 0.290 0.781 0.314
24 O 0.293 0.723 0.917
25 O 0.301 0.559 0.493
26 O 0.349 0.492 0.119
27 O 0.362 0.211 0.809
28 O 0.378 0.134 0.217
29 O 0.389 0.566 0.702
30 O 0.410 0.159 0.446
31 O 0.590 0.841 0.554
32 O 0.611 0.434 0.298
33 O 0.622 0.866 0.783
34 O 0.638 0.789 0.191
35 O 0.651 0.508 0.881
36 O 0.699 0.441 0.507
37 O 0.707 0.277 0.083
38 O 0.710 0.219 0.686
39 O 0.753 0.902 0.989
40 O 0.778 0.077 0.378
41 O 0.933 0.596 0.689
42 O 0.961 0.773 0.432
43 O 0.993 0.986 0.815
44 O 0.998 0.338 0.918

Summary:
Crystal system: triclinic
Energy above the lowest structure with this stoichiometry (eV/atom): 0.004
Calculated total energy (eV/f.u.): -81.5



This record from the Open Quantum Materials Database describes a relaxed Pm2GeO5 crystal. The functional is PBE.

Unit cell a=9.395 b=7.164 c=6.900 alpha=90.00 beta=105.67 gamma=90.00
Fractional coordinates of all 32 atoms:
1 Pm 0.025 0.127 0.232
2 Pm 0.025 0.373 0.732
3 Pm 0.370 0.136 0.053
4 Pm 0.370 0.364 0.553
5 Pm 0.630 0.636 0.447
6 Pm 0.630 0.864 0.947
7 Pm 0.975 0.627 0.268
8 Pm 0.975 0.873 0.768
9 Ge 0.302 0.592 0.028
10 Ge 0.302 0.908 0.528
11 Ge 0.698 0.092 0.472
12 Ge 0.698 0.408 0.972
13 O 0.109 0.633 0.995
14 O 0.109 0.867 0.495
15 O 0.112 0.117 0.938
16 O 0.112 0.383 0.438
17 O 0.286 0.082 0.334
18 O 0.286 0.418 0.834
19 O 0.388 0.704 0.494
20 O 0.388 0.796 0.994
21 O 0.394 0.056 0.725
22 O 0.394 0.444 0.225
23 O 0.606 0.556 0.775
24 O 0.606 0.944 0.275
25 O 0.612 0.204 0.006
26 O 0.612 0.296 0.506
27 O 0.714 0.582 0.166
28 O 0.714 0.918 0.666
29 O 0.888 0.617 0.562
30 O 0.888 0.883 0.062
31 O 0.891 0.133 0.505
32 O 0.891 0.367 0.005

Summary:
Crystal system: monoclinic
Calculated total energy (eV/f.u.): -61.7



This record from the Open Quantum Materials Database describes a relaxed PmGeO3 crystal. The functional is PBE.

Unit cell a=3.849 b=3.849 c=4.626 alpha=90.00 beta=90.00 gamma=90.00
Fractional coordinates of all 5 atoms:
1 Pm 0.000 0.000 0.000
2 Ge 0.500 0.500 0.582
3 O 0.000 0.500 0.699
4 O 0.500 0.000 0.699
5 O 0.500 0.500 0.185

Summary:
Crystal system: tetragonal
Calculated total energy (eV/f.u.): -35.0



This record from the Open Quantum Materials Database describes a relaxed Pm2Ge2O7 crystal. The functional is PBE.

Unit cell a=5.922 b=5.922 c=4.977 alpha=97.20 beta=97.20 gamma=105.06
Fractional coordinates of all 11 atoms:
1 Pm 0.196 0.804 0.000
2 Pm 0.804 0.196 0.000
3 Ge 0.275 0.275 0.590
4 Ge 0.725 0.725 0.410
5 O 0.106 0.415 0.784
6 O 0.108 0.108 0.279
7 O 0.415 0.106 0.784
8 O 0.500 0.500 0.500
9 O 0.585 0.894 0.216
10 O 0.892 0.892 0.721
11 O 0.894 0.585 0.216

Summary:
Crystal system: monoclinic
Energy above the lowest structure with this stoichiometry (eV/atom): 0.009
Calculated total energy (eV/f.u.): -81.4



This record from the Open Quantum Materials Database describes a relaxed Pm2Ge2O7 crystal. The functional is PBE.

Unit cell a=6.936 b=6.936 c=12.669 alpha=90.00 beta=90.00 gamma=90.00
Fractional coordinates of all 44 atoms:
1 Pm 0.123 0.349 0.115
2 Pm 0.151 0.623 0.365
3 Pm 0.349 0.123 0.885
4 Pm 0.377 0.849 0.135
5 Pm 0.623 0.151 0.635
6 Pm 0.651 0.877 0.385
7 Pm 0.849 0.377 0.865
8 Pm 0.877 0.651 0.615
9 Ge 0.101 0.156 0.627
10 Ge 0.156 0.101 0.373
11 Ge 0.344 0.601 0.877
12 Ge 0.399 0.656 0.623
13 Ge 0.601 0.344 0.123
14 Ge 0.656 0.399 0.377
15 Ge 0.844 0.899 0.873
16 Ge 0.899 0.844 0.127
17 O 0.025 0.073 0.878
18 O 0.059 0.662 0.178
19 O 0.073 0.025 0.122
20 O 0.142 0.310 0.296
21 O 0.162 0.441 0.928
22 O 0.190 0.642 0.546
23 O 0.203 0.203 0.500
24 O 0.297 0.703 0.750
25 O 0.310 0.142 0.704
26 O 0.338 0.941 0.322
27 O 0.358 0.810 0.954
28 O 0.427 0.525 0.128
29 O 0.441 0.162 0.072
30 O 0.475 0.573 0.372
31 O 0.525 0.427 0.872
32 O 0.559 0.838 0.572
33 O 0.573 0.475 0.628
34 O 0.642 0.190 0.454
35 O 0.662 0.059 0.822
36 O 0.690 0.858 0.204
37 O 0.703 0.297 0.250
38 O 0.797 0.797 0.000
39 O 0.810 0.358 0.046
40 O 0.838 0.559 0.428
41 O 0.858 0.690 0.796
42 O 0.927 0.975 0.622
43 O 0.941 0.338 0.678
44 O 0.975 0.927 0.378

Summary:
Crystal system: tetragonal
Energy above the lowest structure with this stoichiometry (eV/atom): 0.000
Calculated total energy (eV/f.u.): -81.5



This record from the Open Quantum Materials Database describes a relaxed Pm2Ge2O7 crystal. The functional is PBE.

Unit cell a=6.791 b=6.918 c=6.952 alpha=64.49 beta=87.31 gamma=88.33
Fractional coordinates of all 22 atoms:
1 Pm 0.000 0.000 0.000
2 Pm 0.059 0.510 0.485
3 Pm 0.298 0.982 0.489
4 Pm 0.572 0.424 0.843
5 Ge 0.108 0.474 0.971
6 Ge 0.466 0.867 0.031
7 Ge 0.566 0.424 0.347
8 Ge 0.801 0.991 0.502
9 O 0.016 0.612 0.116
10 O 0.249 0.607 0.726
11 O 0.254 0.240 0.101
12 O 0.287 0.958 0.842
13 O 0.342 0.325 0.481
14 O 0.342 0.789 0.281
15 O 0.561 0.604 0.071
16 O 0.615 0.819 0.651
17 O 0.657 0.050 0.964
18 O 0.663 0.203 0.297
19 O 0.711 0.489 0.506
20 O 0.920 0.381 0.861
21 O 0.969 0.879 0.374
22 O 0.973 0.104 0.608

Summary:
Crystal system: triclinic
Energy above the lowest structure with this stoichiometry (eV/atom): 0.006
Calculated total energy (eV/f.u.): -81.5



This record from the Open Quantum Materials Database describes a relaxed Pm5Ge3O crystal. The functional is PBE.

Unit cell a=8.722 b=8.722 c=6.474 alpha=90.00 beta=90.00 gamma=120.00
Fractional coordinates of all 18 atoms:
1 Pm 0.000 0.230 0.250
2 Pm 0.000 0.770 0.750
3 Pm 0.230 0.000 0.250
4 Pm 0.230 0.230 0.750
5 Pm 0.333 0.667 0.000
6 Pm 0.333 0.667 0.500
7 Pm 0.667 0.333 0.000
8 Pm 0.667 0.333 0.500
9 Pm 0.770 0.000 0.750
10 Pm 0.770 0.770 0.250
11 Ge 0.000 0.399 0.750
12 Ge 0.000 0.601 0.250
13 Ge 0.399 0.000 0.750
14 Ge 0.399 0.399 0.250
15 Ge 0.601 0.000 0.250
16 Ge 0.601 0.601 0.750
17 O 0.000 0.000 0.000
18 O 0.000 0.000 0.500

Summary:
Crystal system: hexagonal
Calculated total energy (eV/f.u.): -54.1



This record from the Open Quantum Materials Database describes a relaxed PmGeO3 crystal. The functional is PBE.

Unit cell a=5.823 b=7.894 c=5.466 alpha=90.00 beta=90.00 gamma=90.00
Fractional coordinates of all 20 atoms:
1 Pm 0.068 0.250 0.020
2 Pm 0.432 0.750 0.520
3 Pm 0.568 0.250 0.480
4 Pm 0.932 0.750 0.980
5 Ge 0.000 0.000 0.500
6 Ge 0.000 0.500 0.500
7 Ge 0.500 0.000 0.000
8 Ge 0.500 0.500 0.000
9 O 0.037 0.750 0.391
10 O 0.198 0.556 0.805
11 O 0.198 0.944 0.805
12 O 0.302 0.056 0.305
13 O 0.302 0.444 0.305
14 O 0.463 0.250 0.891
15 O 0.537 0.750 0.109
16 O 0.698 0.556 0.695
17 O 0.698 0.944 0.695
18 O 0.802 0.056 0.195
19 O 0.802 0.444 0.195
20 O 0.963 0.250 0.609

Summary:
Crystal system: orthorhombic
Calculated total energy (eV/f.u.): -35.6



This record from the Open Quantum Materials Database describes a relaxed Pm2GeO5 crystal. The functional is PBE.

Unit cell a=8.294 b=8.294 c=10.613 alpha=118.73 beta=118.73 gamma=48.99
Fractional coordinates of all 32 atoms:
1 Pm 0.007 0.720 0.169
2 Pm 0.211 0.719 0.542
3 Pm 0.280 0.993 0.331
4 Pm 0.281 0.789 0.958
5 Pm 0.719 0.211 0.042
6 Pm 0.720 0.007 0.669
7 Pm 0.789 0.281 0.458
8 Pm 0.993 0.280 0.831
9 Ge 0.223 0.409 0.683
10 Ge 0.409 0.223 0.183
11 Ge 0.591 0.777 0.817
12 Ge 0.777 0.591 0.317
13 O 0.056 0.341 0.669
14 O 0.077 0.884 0.099
15 O 0.084 0.689 0.687
16 O 0.116 0.923 0.401
17 O 0.243 0.358 0.037
18 O 0.311 0.916 0.813
19 O 0.341 0.056 0.169
20 O 0.358 0.243 0.537
21 O 0.394 0.441 0.346
22 O 0.441 0.394 0.846
23 O 0.559 0.606 0.154
24 O 0.606 0.559 0.654
25 O 0.642 0.757 0.463
26 O 0.659 0.944 0.831
27 O 0.689 0.084 0.187
28 O 0.757 0.642 0.963
29 O 0.884 0.077 0.599
30 O 0.916 0.311 0.313
31 O 0.923 0.116 0.901
32 O 0.944 0.659 0.331

Summary:
Crystal system: monoclinic
Calculated total energy (eV/f.u.): -61.6



This record from the Open Quantum Materials Database describes a relaxed PmGeO3 crystal. The functional is PBE.

Unit cell a=5.541 b=5.541 c=5.541 alpha=61.60 beta=61.60 gamma=61.60
Fractional coordinates of all 10 atoms:
1 Pm 0.250 0.250 0.250
2 Pm 0.750 0.750 0.750
3 Ge 0.000 0.000 0.000
4 Ge 0.500 0.500 0.500
5 O 0.156 0.750 0.344
6 O 0.250 0.656 0.844
7 O 0.344 0.156 0.750
8 O 0.656 0.844 0.250
9 O 0.750 0.344 0.156
10 O 0.844 0.250 0.656

Summary:
Crystal system: trigonal
Calculated total energy (eV/f.u.): -35.3



This record from the Open Quantum Materials Database describes a relaxed PmGeO3 crystal. The functional is PBE.

Unit cell a=5.871 b=5.871 c=5.871 alpha=57.89 beta=57.89 gamma=57.89
Fractional coordinates of all 10 atoms:
1 Pm 0.130 0.130 0.130
2 Pm 0.870 0.870 0.870
3 Ge 0.347 0.347 0.347
4 Ge 0.653 0.653 0.653
5 O 0.041 0.718 0.468
6 O 0.282 0.532 0.959
7 O 0.468 0.041 0.718
8 O 0.532 0.959 0.282
9 O 0.718 0.468 0.041
10 O 0.959 0.282 0.532

Summary:
Crystal system: trigonal
Calculated total energy (eV/f.u.): -34.9



This record from the Open Quantum Materials Database describes a relaxed Pr2GeO6 crystal. The functional is PBE.

Unit cell a=5.072 b=6.389 c=8.547 alpha=90.00 beta=120.35 gamma=90.00
Fractional coordinates of all 18 atoms:
1 Pr 0.205 0.101 0.263
2 Pr 0.205 0.399 0.763
3 Pr 0.795 0.601 0.237
4 Pr 0.795 0.899 0.737
5 Ge 0.500 0.000 0.000
6 Ge 0.500 0.500 0.500
7 O 0.148 0.147 0.962
8 O 0.148 0.353 0.462
9 O 0.304 0.726 0.944
10 O 0.304 0.774 0.444
11 O 0.350 0.027 0.752
12 O 0.350 0.473 0.252
13 O 0.650 0.527 0.748
14 O 0.650 0.973 0.248
15 O 0.696 0.226 0.556
16 O 0.696 0.274 0.056
17 O 0.852 0.647 0.538
18 O 0.852 0.853 0.038

Summary:
Crystal system: monoclinic
Calculated total energy (eV/f.u.): -63.9



This record from the Open Quantum Materials Database describes a relaxed Pr2Ge2O5 crystal. The functional is PBE.

Unit cell a=4.119 b=4.119 c=6.941 alpha=90.00 beta=90.00 gamma=90.00
Fractional coordinates of all 9 atoms:
1 Pr 0.000 0.000 0.000
2 Pr 0.000 0.000 0.500
3 Ge 0.500 0.500 0.224
4 Ge 0.500 0.500 0.776
5 O 0.000 0.500 0.241
6 O 0.000 0.500 0.759
7 O 0.500 0.000 0.241
8 O 0.500 0.000 0.759
9 O 0.500 0.500 0.500

Summary:
Crystal system: tetragonal
Energy above the lowest structure with this stoichiometry (eV/atom): 0.000
Calculated total energy (eV/f.u.): -61.6



This record from the Open Quantum Materials Database describes a relaxed Pr2Ge2O5 crystal. The functional is PBE.

Unit cell a=3.681 b=3.681 c=9.953 alpha=90.00 beta=90.00 gamma=90.00
Fractional coordinates of all 9 atoms:
1 Pr 0.000 0.000 0.245
2 Pr 0.000 0.000 0.755
3 Ge 0.500 0.500 0.000
4 Ge 0.500 0.500 0.500
5 O 0.000 0.000 0.000
6 O 0.000 0.500 0.380
7 O 0.000 0.500 0.620
8 O 0.500 0.000 0.380
9 O 0.500 0.000 0.620

Summary:
Crystal system: tetragonal
Energy above the lowest structure with this stoichiometry (eV/atom): 0.310
Calculated total energy (eV/f.u.): -58.8